VASP calculation (GGA-PBE) on a geometry-optimized SrPdCl6 structure.

Geometry as CIF:
```
data_SrPdCl6
_chemical_formula_sum 'Sr1 Pd1 Cl6'
_symmetry_space_group_name_H-M 'P 1'
_symmetry_Int_Tables_number 1
_symmetry_space_group_name_Hall 'P 1'
_cell_length_a 7.043
_cell_length_b 7.043
_cell_length_c 7.043
_cell_angle_alpha 54.52
_cell_angle_beta 54.52
_cell_angle_gamma 54.52
loop_
_atom_site_label
_atom_site_type_symbol
_atom_site_fract_x
_atom_site_fract_y
_atom_site_fract_z
Sr1 Sr 0.000 0.000 0.000
Pd1 Pd 0.500 0.500 0.500
Cl1 Cl 0.106 0.697 0.471
Cl2 Cl 0.303 0.529 0.894
Cl3 Cl 0.471 0.106 0.697
Cl4 Cl 0.529 0.894 0.303
Cl5 Cl 0.697 0.471 0.106
Cl6 Cl 0.894 0.303 0.529
```

Computed properties:
total DFT energy (no corrections): -26.623 eV per formula unit
space group: No. 148
density: 3.134 g cm⁻³